Compound: MnTl2Fe
Source: Alexandria via LeMat-Bulk
Functional: meta-GGA SCAN
Structure: single point on PBEsol structure

Structure (POSCAR):
```
MnTl2Fe
1.0
-0.387 0.603 2.930
-4.188 -2.586 -0.021
3.489 -3.280 1.136
Fe Mn Tl
1 1 2
Direct
0.500 0.000 0.000
0.500 0.500 0.500
0.000 0.500 0.000
0.000 0.000 0.500
```

Energy above the most stable polymorph in this dataset in meV per atom: 52.8
SG: Cmmm, No. 65


Compound: ScMnRh
Source: Alexandria via LeMat-Bulk
Functional: meta-GGA SCAN
Structure: single point on PBEsol structure

Structure (POSCAR):
```
ScMnRh
1.0
-0.215 -2.157 -1.943
3.749 -1.586 1.346
-3.655 -1.287 1.835
Mn Rh Sc
1 1 1
Direct
0.956 0.000 0.000
0.693 0.333 0.667
0.351 0.667 0.333
```

Energy above the most stable polymorph in this dataset in meV per atom: 0.0
SG: P3m1, No. 156


Compound: SrH2Au
Source: Alexandria via LeMat-Bulk
Functional: meta-GGA SCAN
Structure: single point on PBEsol structure

Structure (POSCAR):
```
SrH2Au
1.0
4.612 0.000 0.000
0.000 4.612 0.000
-2.306 -2.306 5.695
Sr Au H
2 2 4
Direct
0.750 0.250 0.500
0.500 0.500 0.000
0.250 0.750 0.500
0.000 0.000 0.000
0.194 0.875 0.250
0.056 0.375 0.250
0.125 0.944 0.750
0.625 0.806 0.750
```

Energy above the most stable polymorph in this dataset in meV per atom: 0.0
SG: I-42d, No. 122


Compound: CuO2F
Source: Alexandria via LeMat-Bulk
Functional: meta-GGA SCAN
Structure: single point on PBEsol structure

Structure (POSCAR):
```
CuO2F
1.0
-2.260 2.031 -3.382
-3.586 -0.145 2.309
0.605 3.788 1.870
O Cu F
4 2 2
Direct
0.727 0.032 0.763
0.773 0.237 0.968
0.227 0.968 0.237
0.273 0.763 0.032
0.000 0.714 0.714
0.500 0.286 0.286
0.250 0.377 0.623
0.750 0.623 0.377
```

SG: C222_1, No. 20
Formation energy (no corrections) in eV per atom: -0.75


Compound: Pb2Au
Source: Alexandria via LeMat-Bulk
Functional: meta-GGA SCAN
Structure: single point on PBEsol structure

Structure (POSCAR):
```
Pb2Au
1.0
-2.191 1.237 5.063
1.366 -3.429 4.586
2.979 3.619 3.562
Pb Au
4 2
Direct
0.841 0.500 0.818
0.159 0.500 0.182
0.341 0.818 0.500
0.659 0.182 0.500
0.250 0.000 0.000
0.750 0.000 0.000
```

SG: I4/mcm, No. 140
Electronic total energy in eV per cell: -441.90


Compound: AlPPt
Source: Alexandria via LeMat-Bulk
Functional: meta-GGA SCAN
Structure: single point on PBEsol structure

Structure (POSCAR):
```
AlPPt
1.0
3.440 0.000 0.000
0.000 6.775 0.000
0.000 -3.387 5.867
Al P Pt
3 3 3
Direct
0.000 0.711 0.711
0.000 0.000 0.289
0.000 0.289 0.000
0.000 0.667 0.333
0.000 0.333 0.667
0.500 0.000 0.000
0.500 0.339 0.339
0.500 0.000 0.661
0.500 0.661 0.000
```

SG: P-62m, No. 189
Electronic total energy in eV per cell: -266.38


Compound: Rb2In2Tc
Source: Alexandria via LeMat-Bulk
Functional: meta-GGA SCAN
Structure: single point on PBEsol structure

Structure (POSCAR):
```
Rb2In2Tc
1.0
-3.540 0.170 2.048
-0.691 -3.940 -0.867
7.452 -1.136 8.884
Tc Rb In
1 2 2
Direct
0.000 0.000 0.000
0.400 0.400 0.801
0.600 0.600 0.199
0.250 0.750 0.500
0.750 0.250 0.500
```

SG: I4/mmm, No. 139
Electronic total energy in eV per cell: -139.03


Compound: Ca2CdHg
Source: Alexandria via LeMat-Bulk
Functional: meta-GGA SCAN
Structure: single point on PBEsol structure

Structure (POSCAR):
```
Ca2CdHg
1.0
3.735 0.000 0.000
0.000 3.735 0.000
0.000 0.000 7.480
Ca Hg Cd
2 1 1
Direct
0.000 0.000 0.744
0.000 0.000 0.256
0.500 0.500 0.500
0.500 0.500 0.000
```

Energy above the most stable polymorph in this dataset in meV per atom: 0.0
SG: P4/mmm, No. 123


Number 1: V 70.7 Å³ per cell, size of the total moment 6.75 μB per formula unit. Number 2: V 46.3 Å³ per cell, size of the total moment 4.05 μB per formula unit. Number 3: V 121.1 Å³ per cell, size of the total moment 0.00 μB per formula unit. Number 4: V 82.5 Å³ per cell, size of the total moment 0.00 μB per formula unit. Number 5: V 150.8 Å³ per cell, size of the total moment 0.00 μB per formula unit. Number 6: V 136.7 Å³ per cell, size of the total moment 0.00 μB per formula unit. Number 7: V 189.1 Å³ per cell, size of the total moment 3.87 μB per formula unit. Number 8: V 104.4 Å³ per cell, size of the total moment 0.00 μB per formula unit.